SnPdS2O8: optimized geometry, GGA-PBE.

a = 7.868 Å, b = 7.868 Å, c = 7.868 Å
α = 36.45°, β = 36.45°, γ = 36.45°
Atoms (fractional coordinates):
1 Sn 0.000 0.000 0.000
2 Pd 0.500 0.500 0.500
3 S 0.250 0.250 0.250
4 S 0.750 0.750 0.750
5 O 0.055 0.477 0.780
6 O 0.220 0.945 0.523
7 O 0.318 0.318 0.318
8 O 0.477 0.780 0.055
9 O 0.523 0.220 0.945
10 O 0.682 0.682 0.682
11 O 0.780 0.055 0.477
12 O 0.945 0.523 0.220

Properties
Crystal system   trigonal
Total moment   2.0 μB per cell
SG   R-3
Raw formation energy   -1070 meV/atom
Energy   -5.830 eV/atom



YTmNiPd: optimized geometry, GGA-PBE.

a = 4.352 Å, b = 5.484 Å, c = 5.484 Å
α = 40.11°, β = 90.00°, γ = 90.00°
Atoms (fractional coordinates):
1 Y 0.000 0.000 0.000
2 Tm 0.500 0.720 0.720
3 Ni 0.000 0.277 0.277
4 Pd 0.500 0.435 0.435

Properties
Crystal system   orthorhombic
Total moment   0.0 μB per cell
Energy relative to the elements   -678 meV per atom
SG   Amm2
Energy   -6.155 eV/atom



Ce2H4Ru: optimized geometry, GGA-PBE.

a = 5.809 Å, b = 4.671 Å, c = 7.108 Å
α = 90.00°, β = 107.02°, γ = 90.00°
Atoms (fractional coordinates):
1 Ce 0.229 0.250 0.439
2 Ce 0.234 0.250 0.941
3 Ce 0.766 0.750 0.059
4 Ce 0.771 0.750 0.561
5 H 0.081 0.750 0.366
6 H 0.127 0.750 0.950
7 H 0.478 0.519 0.741
8 H 0.478 0.981 0.741
9 H 0.522 0.019 0.259
10 H 0.522 0.481 0.259
11 H 0.873 0.250 0.050
12 H 0.919 0.250 0.634
13 Ru 0.298 0.750 0.213
14 Ru 0.702 0.250 0.787

Properties
Crystal system   monoclinic
Total moment   3.0 μB per cell
SG   P2_1/m
Energy   -5.302 eV/atom



AsWCSe2: optimized geometry, GGA-PBE.

a = 4.872 Å, b = 4.872 Å, c = 4.965 Å
α = 90.00°, β = 90.00°, γ = 90.00°
Atoms (fractional coordinates):
1 As 0.000 0.000 0.000
2 W 0.000 0.000 0.500
3 C 0.500 0.500 0.000
4 Se 0.000 0.500 0.500
5 Se 0.500 0.000 0.500

Properties
Crystal system   tetragonal
Total moment   1.9 μB per cell
SG   P4/mmm
Raw formation energy   1653 meV/atom
Energy   -5.107 eV/atom



Pr5Sb4C: optimized geometry, GGA-PBE.

a = 7.635 Å, b = 7.635 Å, c = 7.635 Å
α = 100.09°, β = 100.09°, γ = 130.51°
Atoms (fractional coordinates):
1 Pr 0.000 0.000 0.000
2 Pr 0.184 0.351 0.646
3 Pr 0.351 0.705 0.167
4 Pr 0.538 0.184 0.833
5 Pr 0.705 0.538 0.354
6 Sb 0.027 0.633 0.777
7 Sb 0.250 0.027 0.394
8 Sb 0.633 0.856 0.606
9 Sb 0.856 0.250 0.223
10 C 0.390 0.390 0.000

Properties
Crystal system   tetragonal
Total moment   0.0 μB per cell
SG   I4
Raw formation energy   -798 meV/atom
Energy   -5.759 eV/atom



PmPr12Ag6: optimized geometry, GGA-PBE.

a = 9.197 Å, b = 9.197 Å, c = 9.197 Å
α = 109.47°, β = 109.47°, γ = 109.47°
Atoms (fractional coordinates):
1 Pm 0.000 0.000 0.000
2 Pr 0.099 0.286 0.813
3 Pr 0.187 0.473 0.286
4 Pr 0.187 0.901 0.714
5 Pr 0.286 0.187 0.473
6 Pr 0.286 0.813 0.099
7 Pr 0.473 0.286 0.187
8 Pr 0.527 0.714 0.813
9 Pr 0.714 0.187 0.901
10 Pr 0.714 0.813 0.527
11 Pr 0.813 0.099 0.286
12 Pr 0.813 0.527 0.714
13 Pr 0.901 0.714 0.187
14 Ag 0.130 0.500 0.630
15 Ag 0.370 0.870 0.500
16 Ag 0.500 0.370 0.870
17 Ag 0.500 0.630 0.130
18 Ag 0.630 0.130 0.500
19 Ag 0.870 0.500 0.370

Properties
Crystal system   cubic
Total moment   0.0 μB per cell
Energy relative to the elements   -63 meV per atom
SG   Im-3
Energy   -4.232 eV/atom



BaLi2Te: optimized geometry, GGA-PBE.

a = 7.219 Å, b = 7.219 Å, c = 4.776 Å
α = 109.20°, β = 109.20°, γ = 124.13°
Atoms (fractional coordinates):
1 Ba 0.000 0.000 0.000
2 Li 0.000 0.500 0.000
3 Li 0.500 0.000 0.000
4 Te 0.500 0.500 0.000

Properties
Crystal system   monoclinic
Total moment   0.2 μB per cell
SG   C2/m
Raw formation energy   -483 meV/atom
Energy   -2.706 eV/atom



La3Si2Pd9Pb: optimized geometry, GGA-PBE.

a = 6.436 Å, b = 6.436 Å, c = 9.433 Å
α = 90.00°, β = 90.00°, γ = 120.00°
Atoms (fractional coordinates):
1 La 0.000 0.000 0.000
2 La 0.333 0.667 0.714
3 La 0.667 0.333 0.286
4 Si 0.333 0.667 0.165
5 Si 0.667 0.333 0.835
6 Pd 0.000 0.500 0.000
7 Pd 0.147 0.294 0.268
8 Pd 0.147 0.853 0.268
9 Pd 0.294 0.147 0.732
10 Pd 0.500 0.000 0.000
11 Pd 0.500 0.500 0.000
12 Pd 0.706 0.853 0.268
13 Pd 0.853 0.147 0.732
14 Pd 0.853 0.706 0.732
15 Pb 0.000 0.000 0.500

Properties
Crystal system   trigonal
Total moment   0.0 μB per cell
SG   P-3m1
Raw formation energy   -622 meV/atom
Energy   -5.694 eV/atom



Y2Ti2Au: optimized geometry, GGA-PBE.

a = 6.929 Å, b = 6.929 Å, c = 4.822 Å
α = 90.00°, β = 90.00°, γ = 90.00°
Atoms (fractional coordinates):
1 Y 0.167 0.333 0.000
2 Y 0.333 0.833 0.000
3 Y 0.667 0.167 0.000
4 Y 0.833 0.667 0.000
5 Ti 0.136 0.636 0.500
6 Ti 0.364 0.136 0.500
7 Ti 0.636 0.864 0.500
8 Ti 0.864 0.364 0.500
9 Au 0.000 0.000 0.500
10 Au 0.500 0.500 0.500

Properties
Crystal system   tetragonal
Total moment   2.0 μB per cell
Energy relative to the elements   -66 meV per atom
SG   P4/mbm
Energy   -6.465 eV/atom



CuGeBr2: optimized geometry, GGA-PBE.

a = 6.525 Å, b = 6.525 Å, c = 6.525 Å
α = 114.87°, β = 114.87°, γ = 99.14°
Atoms (fractional coordinates):
1 Cu 0.000 0.000 0.000
2 Cu 0.750 0.250 0.500
3 Ge 0.250 0.750 0.500
4 Ge 0.500 0.500 0.000
5 Br 0.075 0.625 0.950
6 Br 0.375 0.325 0.450
7 Br 0.675 0.125 0.050
8 Br 0.875 0.925 0.550

Properties
Crystal system   tetragonal
Total moment   2.0 μB per cell
SG   I-42d
Raw formation energy   95 meV/atom
Energy   -2.920 eV/atom



Dy4Sn6O19: optimized geometry, GGA-PBE.

a = 8.068 Å, b = 8.068 Å, c = 8.068 Å
α = 109.47°, β = 109.47°, γ = 109.47°
Atoms (fractional coordinates):
1 Dy 0.000 0.000 0.710
2 Dy 0.000 0.710 0.000
3 Dy 0.290 0.290 0.290
4 Dy 0.710 0.000 0.000
5 Sn 0.169 0.669 0.500
6 Sn 0.331 0.500 0.831
7 Sn 0.500 0.169 0.669
8 Sn 0.500 0.831 0.331
9 Sn 0.669 0.500 0.169
10 Sn 0.831 0.331 0.500
11 O 0.000 0.000 0.000
12 O 0.000 0.345 0.345
13 O 0.000 0.655 0.655
14 O 0.033 0.268 0.667
15 O 0.235 0.967 0.634
16 O 0.268 0.667 0.033
17 O 0.333 0.601 0.366
18 O 0.345 0.000 0.345
19 O 0.345 0.345 0.000
20 O 0.366 0.333 0.601
21 O 0.399 0.732 0.765
22 O 0.601 0.366 0.333
23 O 0.634 0.235 0.967
24 O 0.655 0.000 0.655
25 O 0.655 0.655 0.000
26 O 0.667 0.033 0.268
27 O 0.732 0.765 0.399
28 O 0.765 0.399 0.732
29 O 0.967 0.634 0.235

Properties
Crystal system   cubic
Total moment   2.2 μB per cell
SG   I23
Raw formation energy   -2090 meV/atom
Energy   -6.801 eV/atom



FeHgPH: optimized geometry, GGA-PBE.

a = 6.821 Å, b = 6.821 Å, c = 6.821 Å
α = 156.34°, β = 155.43°, γ = 34.37°
Atoms (fractional coordinates):
1 Fe 0.000 0.000 0.000
2 Hg 0.215 0.215 0.000
3 P 0.418 0.418 0.000
4 H 0.074 0.574 0.500

Properties
Crystal system   orthorhombic
Total moment   0.0 μB per cell
SG   Imm2
Energy   -4.313 eV/atom



LaTb2Pm: optimized geometry, GGA-PBE.

a = 11.949 Å, b = 11.949 Å, c = 11.949 Å
α = 17.51°, β = 17.51°, γ = 17.51°
Atoms (fractional coordinates):
1 La 0.000 0.000 0.000
2 Tb 0.249 0.249 0.249
3 Tb 0.751 0.751 0.751
4 Pm 0.500 0.500 0.500

Properties
Crystal system   trigonal
Total moment   0.0 μB per cell
Energy relative to the elements   13 meV per atom
SG   R-3m
Energy   -4.722 eV/atom



ScOs2Au: optimized geometry, GGA-PBE.

a = 4.862 Å, b = 4.862 Å, c = 4.862 Å
α = 130.88°, β = 130.88°, γ = 72.00°
Atoms (fractional coordinates):
1 Sc 0.000 0.000 0.000
2 Os 0.500 0.500 0.000
3 Os 0.750 0.250 0.500
4 Au 0.250 0.750 0.500

Properties
Crystal system   tetragonal
Total moment   0.0 μB per cell
Energy relative to the elements   49 meV per atom
SG   I-4m2
Energy   -7.968 eV/atom



Ca3Pu3CoN8: optimized geometry, GGA-PBE.

a = 6.811 Å, b = 6.811 Å, c = 6.811 Å
α = 58.49°, β = 58.49°, γ = 58.49°
Atoms (fractional coordinates):
1 Ca 0.000 0.500 0.500
2 Ca 0.500 0.000 0.500
3 Ca 0.500 0.500 0.000
4 Pu 0.000 0.000 0.500
5 Pu 0.000 0.500 0.000
6 Pu 0.500 0.000 0.000
7 Co 0.500 0.500 0.500
8 N 0.242 0.242 0.242
9 N 0.244 0.725 0.725
10 N 0.275 0.275 0.756
11 N 0.275 0.756 0.275
12 N 0.725 0.244 0.725
13 N 0.725 0.725 0.244
14 N 0.756 0.275 0.275
15 N 0.758 0.758 0.758

Properties
Crystal system   trigonal
Total moment   9.0 μB per cell
SG   R-3m
Raw formation energy   -783 meV/atom
Energy   -8.964 eV/atom



CeCuPt: optimized geometry, GGA-PBE.

a = 5.135 Å, b = 5.135 Å, c = 5.135 Å
α = 138.29°, β = 138.29°, γ = 60.46°
Atoms (fractional coordinates):
1 Ce 0.000 0.000 0.000
2 Cu 0.681 0.681 0.000
3 Pt 0.340 0.340 0.000

Properties
Crystal system   tetragonal
Total moment   0.5 μB per cell
Energy relative to the elements   -520 meV per atom
SG   I4mm
Energy   -5.877 eV/atom



UTiHg: optimized geometry, GGA-PBE.

a = 4.084 Å, b = 4.084 Å, c = 7.522 Å
α = 97.70°, β = 97.70°, γ = 90.02°
Atoms (fractional coordinates):
1 U 0.000 0.500 0.000
2 U 0.500 0.000 0.000
3 Ti 0.090 0.090 0.309
4 Ti 0.910 0.910 0.691
5 Hg 0.398 0.398 0.660
6 Hg 0.602 0.602 0.340

Properties
Crystal system   monoclinic
Total moment   2.1 μB per cell
Energy relative to the elements   275 meV per atom
SG   C2/m
Energy   -6.220 eV/atom



K2SnTe: optimized geometry, GGA-PBE.

a = 5.898 Å, b = 5.898 Å, c = 5.898 Å
α = 60.00°, β = 60.00°, γ = 60.00°
Atoms (fractional coordinates):
1 K 0.250 0.250 0.250
2 K 0.750 0.750 0.750
3 Sn 0.000 0.000 0.000
4 Te 0.500 0.500 0.500

Properties
Crystal system   cubic
Total moment   0.0 μB per cell
SG   Fm-3m
Raw formation energy   -251 meV/atom
Energy   -2.586 eV/atom



TlPPd3: optimized geometry, GGA-PBE.

a = 7.568 Å, b = 7.568 Å, c = 3.446 Å
α = 90.15°, β = 90.15°, γ = 109.23°
Atoms (fractional coordinates):
1 Tl 0.000 0.000 0.000
2 Tl 0.500 0.500 0.500
3 P 0.000 0.500 0.000
4 P 0.500 0.000 0.000
5 Pd 0.096 0.345 0.500
6 Pd 0.309 0.691 0.000
7 Pd 0.345 0.096 0.500
8 Pd 0.655 0.904 0.500
9 Pd 0.691 0.309 0.000
10 Pd 0.904 0.655 0.500

Properties
Crystal system   monoclinic
Total moment   0.0 μB per cell
Energy relative to the elements   -225 meV per atom
SG   C2/m
Energy   -4.896 eV/atom



RbBaHgO2: optimized geometry, GGA-PBE.

a = 7.636 Å, b = 6.703 Å, c = 7.851 Å
α = 90.00°, β = 110.51°, γ = 90.00°
Atoms (fractional coordinates):
1 Rb 0.000 0.187 0.250
2 Rb 0.000 0.813 0.750
3 Ba 0.500 0.489 0.750
4 Ba 0.500 0.511 0.250
5 Hg 0.500 0.000 0.000
6 Hg 0.500 0.000 0.500
7 O 0.370 0.279 0.448
8 O 0.370 0.721 0.948
9 O 0.630 0.279 0.052
10 O 0.630 0.721 0.552

Properties
Crystal system   monoclinic
Total moment   0.0 μB per cell
SG   P2/c
Raw formation energy   -1224 meV/atom
Energy   -3.845 eV/atom



Al2ReOs: optimized geometry, GGA-PBE.

a = 4.334 Å, b = 4.334 Å, c = 2.983 Å
α = 90.00°, β = 90.00°, γ = 90.00°
Atoms (fractional coordinates):
1 Al 0.000 0.500 0.000
2 Al 0.500 0.000 0.000
3 Re 0.000 0.000 0.500
4 Os 0.500 0.500 0.500

Properties
Crystal system   tetragonal
Total moment   0.0 μB per cell
Energy relative to the elements   -204 meV per atom
SG   P4/mmm
Energy   -7.995 eV/atom



SmMgPd4: optimized geometry, GGA-PBE.

a = 3.944 Å, b = 3.944 Å, c = 7.923 Å
α = 90.00°, β = 90.00°, γ = 90.00°
Atoms (fractional coordinates):
1 Sm 0.000 0.000 0.000
2 Mg 0.500 0.500 0.500
3 Pd 0.000 0.500 0.268
4 Pd 0.000 0.500 0.732
5 Pd 0.500 0.000 0.268
6 Pd 0.500 0.000 0.732

Properties
Crystal system   tetragonal
Total moment   0.0 μB per cell
Energy relative to the elements   -442 meV per atom
SG   P4/mmm
Energy   -4.956 eV/atom



Gd2TiN: optimized geometry, GGA-PBE.

a = 9.064 Å, b = 9.064 Å, c = 9.064 Å
α = 21.51°, β = 21.51°, γ = 21.51°
Atoms (fractional coordinates):
1 Gd 0.114 0.114 0.114
2 Gd 0.886 0.886 0.886
3 Ti 0.000 0.000 0.000
4 N 0.500 0.500 0.500

Properties
Crystal system   trigonal
Total moment   16.4 μB per cell
SG   R-3m
Raw formation energy   -379 meV/atom
Energy   -11.475 eV/atom



YTcC2: optimized geometry, GGA-PBE.

a = 3.690 Å, b = 3.918 Å, c = 3.918 Å
α = 76.37°, β = 90.00°, γ = 90.00°
Atoms (fractional coordinates):
1 Y 0.000 0.000 0.000
2 Tc 0.500 0.404 0.404
3 C 0.500 0.580 0.875
4 C 0.500 0.875 0.580

Properties
Crystal system   orthorhombic
Total moment   0.0 μB per cell
Energy relative to the elements   -112 meV per atom
SG   Amm2
Energy   -8.932 eV/atom